No. 1
First-principles (PBE-GGA) data for a relaxed structure of Cd3Os, as listed in the Alexandria database.

Cell: 4.118 4.118 5.290 Å, 67.09 67.09 90.00°
Last column: magnetic moment on the atom in μB.
Positions (direct):
1 Os 0.250 0.750 0.500  0.51
2 Cd 0.000 0.000 0.000  -0.01
3 Cd 0.500 0.500 0.000  -0.01
4 Cd 0.750 0.250 0.500  -0.01

ΔH_f (0 K): 0.512 eV per atom
excess energy over the best structure of this formula in the dataset: 180.3 meV per atom
symmetry: I4/mmm (139)
spin magnetization: 0.124 μB per atom



No. 2
First-principles (PBE-GGA) data for a relaxed structure of Cd2Os, as listed in the Alexandria database.

Cell: 2.903 2.903 7.468 Å, 90.00 90.00 120.00°
Positions (direct):
1 Os 0.667 0.333 0.333
2 Cd 0.000 0.000 0.018
3 Cd 0.333 0.667 0.649

ΔH_f (0 K): 0.545 eV per atom
symmetry: P-3m1 (164)
spin magnetization: 0.000 μB per atom



No. 3
First-principles (PBE-GGA) data for a relaxed structure of Cd2Os, as listed in the Alexandria database.

Cell: 8.256 8.256 2.784 Å, 90.00 90.00 120.00°
Positions (direct):
1 Cd 0.000 0.301 0.000
2 Cd 0.000 0.630 0.500
3 Cd 0.301 0.000 0.000
4 Cd 0.699 0.699 0.000
5 Cd 0.630 0.000 0.500
6 Cd 0.370 0.370 0.500
7 Os 0.000 0.000 0.500
8 Os 0.333 0.667 0.000
9 Os 0.667 0.333 0.000

ΔH_f (0 K): 0.596 eV per atom
symmetry: P-62m (189)
spin magnetization: 0.000 μB per atom